# NaSr8Ca5

A geometry-optimized NaSr8Ca5 structure (GGA-PBE, Alexandria via LeMat-Bulk).

Unit cell a=9.7633 b=9.7633 c=9.7633 alpha=106.50 beta=115.60 gamma=106.50
Closest atoms and distances in Å follow each position.
Sites, in units of the cell vectors:
Sr1 0.0899 0.6871 0.4479  2 Ca 3.87-4.00, 3 Sr 3.88-4.26, 1 Na 3.90
Ca1 0.9824 0.9343 0.2080  5 Sr 3.82-4.00, 3 Ca 3.83-3.88
Sr2 0.3637 0.3866 0.4607  1 Na 3.47, 3 Ca 3.82-3.88
Sr3 0.0229 0.0970 0.6363  1 Na 3.47, 3 Ca 3.82-3.88
Sr4 0.5393 0.9030 0.9259  1 Na 3.47, 3 Ca 3.82-3.88
Ca2 0.2737 0.0657 0.0480  5 Sr 3.82-4.00, 3 Ca 3.83-3.88
Sr5 0.0741 0.6134 0.9771  1 Na 3.47, 3 Ca 3.82-3.88
Sr6 0.5521 0.6419 0.2392  2 Ca 3.87-4.00, 3 Sr 3.88-4.26, 1 Na 3.90
Sr7 0.5972 0.3581 0.9101  2 Ca 3.87-4.00, 3 Sr 3.88-4.26, 1 Na 3.90
Sr8 0.7608 0.3129 0.4028  2 Ca 3.87-4.00, 3 Sr 3.88-4.26, 1 Na 3.90
Ca3 0.5000 0.0000 0.5000  8 Sr 4.00-4.40, 4 Ca 4.33
Ca4 0.9520 0.2256 0.0176  5 Sr 3.82-4.00, 3 Ca 3.83-3.88
Na1 0.2500 0.5000 0.7500  4 Sr 3.47
Ca5 0.7920 0.7744 0.7263  5 Sr 3.82-4.00, 3 Ca 3.83-3.88

Properties
The formation energy is 0.130 eV per atom. For the total energy, the calculation gives -22.956 eV/cell. The total magnetization is 0.00 μB per formula unit. The volume is 50.73 Å³/atom.